A plane-wave DFT calculation with PBE-GGA was carried out for a relaxed structure of MgCu2Bi2.

a = 3.606 Å, b = 3.606 Å, c = 17.191 Å
α = 90.00°, β = 90.00°, γ = 90.00°
Fractional coordinates of all 10 atoms:
Mg: 0.000 0.000 0.000
Mg: 0.500 0.500 0.500
Cu: 0.000 0.500 0.250
Cu: 0.000 0.500 0.750
Cu: 0.500 0.000 0.250
Cu: 0.500 0.000 0.750
Bi: 0.000 0.000 0.380
Bi: 0.000 0.000 0.620
Bi: 0.500 0.500 0.120
Bi: 0.500 0.500 0.880

Summary:
SG: I4/mmm, No. 139
DFT formation energy: 87 meV/atom